1.
Material: FeMo2Rh
Method: DFT, GGA-PBE
State: relaxed

Results
**Total energy**: -9.348 eV per atom
**N(E_F)**: 1.22 states/eV/atom
**Magnetic moment**: 1.38 μB per formula unit
**Distance to the lowest polymorph of the same formula**: 20.6 meV/atom
**Space-group type**: Pmm2, No. 25

Lattice parameters (Å, degrees): 2.7150 4.3930 4.7629 90.00 90.00 90.00
Sites, in units of the cell vectors:
Fe (0.0000, 0.0000, 0.0000)
Mo (0.5000, 0.0000, 0.5101)
Mo (0.5000, 0.5000, 0.8572)
Rh (0.0000, 0.5000, 0.3450)

2.
Material: Fe2MoRh
Method: DFT, GGA-PBE
State: relaxed

Results
**Total energy**: -8.674 eV per atom
**N(E_F)**: 1.01 states/eV/atom
**Magnetic moment**: 5.28 μB per formula unit
**Space-group type**: P2/m, No. 10

Lattice parameters (Å, degrees): 2.6328 4.2203 4.9955 90.00 100.86 90.00
Sites, in units of the cell vectors:
Fe (0.2378, 0.0000, 0.2541)
Fe (0.7622, 0.0000, 0.7459)
Mo (0.0000, 0.5000, 0.5000)
Rh (0.5000, 0.5000, 0.0000)

3.
Material: Fe2MoRh
Method: DFT, GGA-PBE
State: relaxed

Results
**Total energy**: -8.683 eV per atom
**N(E_F)**: 1.13 states/eV/atom
**Magnetic moment**: 3.33 μB per formula unit
**Space-group type**: Cmmm, No. 65

Lattice parameters (Å, degrees): 5.3230 7.4229 2.6667 90.00 90.00 90.00
Sites, in units of the cell vectors:
Fe (0.2500, 0.2500, 0.0000)
Fe (0.2500, 0.7500, 0.0000)
Fe (0.7500, 0.2500, 0.0000)
Fe (0.7500, 0.7500, 0.0000)
Mo (0.0000, 0.0000, 0.5000)
Mo (0.5000, 0.5000, 0.5000)
Rh (0.0000, 0.5000, 0.5000)
Rh (0.5000, 0.0000, 0.5000)

4.
Material: FeMo2Rh
Method: DFT, GGA-PBE
State: relaxed

Results
**Total energy**: -9.200 eV per atom
**N(E_F)**: 1.12 states/eV/atom
**Magnetic moment**: 2.32 μB per formula unit
**Distance to the lowest polymorph of the same formula**: 168.8 meV/atom
**Space-group type**: R3m, No. 160

Lattice parameters (Å, degrees): 2.7356 2.7356 27.0918 90.00 90.00 120.00
Sites, in units of the cell vectors:
Fe (0.0000, 0.0000, 0.0000)
Fe (0.3333, 0.6667, 0.6667)
Fe (0.6667, 0.3333, 0.3333)
Mo (0.0000, 0.0000, 0.5073)
Mo (0.0000, 0.0000, 0.7487)
Mo (0.3333, 0.6667, 0.1739)
Mo (0.3333, 0.6667, 0.4153)
Mo (0.6667, 0.3333, 0.0820)
Mo (0.6667, 0.3333, 0.8406)
Rh (0.0000, 0.0000, 0.2555)
Rh (0.3333, 0.6667, 0.9222)
Rh (0.6667, 0.3333, 0.5889)